Record 1
Compound: GdZrZn2
Source: the Alexandria database
Functional: PBE
Structure: relaxed

Unit cell a=3.457 b=3.457 c=6.980 alpha=90.00 beta=90.00 gamma=90.00
Positions (direct):
Gd  0.000  0.000  0.000
Zr  0.000  0.000  0.500
Zn  0.500  0.500  0.278
Zn  0.500  0.500  0.722

Summary:
- energy relative to the elements (kcal/mol of atoms) = -6.4
- spin magnetization (μB per cell) = 7.638

Record 2
Compound: Dy3InCo
Source: the Alexandria database
Functional: PBE
Structure: relaxed

Unit cell a=6.449 b=6.449 c=8.986 alpha=110.39 beta=110.39 gamma=48.96
Positions (direct):
Dy  0.109  0.109  0.219
Dy  0.154  0.154  0.660
Dy  0.380  0.380  0.085
Dy  0.620  0.620  0.915
Dy  0.846  0.846  0.340
Dy  0.891  0.891  0.781
In  0.394  0.394  0.554
In  0.606  0.606  0.446
Co  0.135  0.135  0.940
Co  0.865  0.865  0.060

Summary:
- energy relative to the elements (kcal/mol of atoms) = -5.8
- offset from the most stable computed form (kJ/mol of formula units) = 10.2
- spin magnetization (μB per cell) = 0.000

Record 3
Compound: Be2Te
Source: the Alexandria database
Functional: PBE
Structure: relaxed

Unit cell a=15.860 b=15.860 c=15.860 alpha=166.54 beta=166.54 gamma=19.08
Positions (direct):
Be  0.125  0.375  0.750
Be  0.340  0.590  0.750
Be  0.375  0.125  0.250
Be  0.410  0.660  0.750
Be  0.590  0.340  0.250
Be  0.625  0.875  0.750
Be  0.660  0.410  0.250
Be  0.875  0.625  0.250
Te  0.061  0.811  0.250
Te  0.189  0.939  0.250
Te  0.811  0.061  0.750
Te  0.939  0.189  0.750

Summary:
- E_form (uncorrected) (eV/atom) = 0.331
- offset from the most stable computed form (kJ/mol of formula units) = 89.5
- spin magnetization (μB per cell) = 0.000

Record 4
Compound: BrClF2
Source: the Alexandria database
Functional: PBE
Structure: relaxed

Unit cell a=4.390 b=4.390 c=4.390 alpha=60.00 beta=60.00 gamma=60.00
Positions (direct):
Br  0.000  0.000  0.000
Cl  0.500  0.500  0.500
F  0.250  0.250  0.250
F  0.750  0.750  0.750

Summary:
- E_form (uncorrected) (eV/atom) = 0.439
- offset from the most stable computed form (kJ/mol of formula units) = 398.9
- spin magnetization (μB per cell) = 0.000